<A>
Compound: Zn3Cu3Au2
Source: Alexandria via LeMat-Bulk
Functional: PBE-GGA
Structure: relaxed

Computed properties:
Total magnetic moment = 0.00 μB per formula unit

```
data_Zn3Cu3Au2
_cell_length_a 3.8887
_cell_length_b 3.8972
_cell_length_c 7.6126
_cell_angle_alpha 90.00
_cell_angle_beta 90.00
_cell_angle_gamma 90.00
_symmetry_space_group_name_H-M 'P 1'
_symmetry_Int_Tables_number 1
_symmetry_space_group_name_Hall 'P 1'
loop_
_atom_site_label
_atom_site_fract_x
_atom_site_fract_y
_atom_site_fract_z
Zn1 0.0000 0.0000 0.0000
Zn2 0.0000 0.0000 0.5000
Zn3 0.5000 0.5000 0.0000
Cu1 0.0000 0.5000 0.2505
Cu2 0.0000 0.5000 0.7495
Cu3 0.5000 0.5000 0.5000
Au1 0.5000 0.0000 0.2521
Au2 0.5000 0.0000 0.7479
```

=====

<B>
Compound: Zn3Cu3Au2
Source: Alexandria via LeMat-Bulk
Functional: PBE-GGA
Structure: relaxed

Computed properties:
Total magnetic moment = 0.00 μB per formula unit

```
data_Zn3Cu3Au2
_cell_length_a 6.6666
_cell_length_b 6.6666
_cell_length_c 4.4505
_cell_angle_alpha 109.36
_cell_angle_beta 109.36
_cell_angle_gamma 38.56
_symmetry_space_group_name_H-M 'P 1'
_symmetry_Int_Tables_number 1
_symmetry_space_group_name_Hall 'P 1'
loop_
_atom_site_label
_atom_site_fract_x
_atom_site_fract_y
_atom_site_fract_z
Zn1 0.0000 0.0000 0.0000
Zn2 0.1190 0.1190 0.6188
Zn3 0.8810 0.8810 0.3812
Cu1 0.3884 0.3884 0.8883
Cu2 0.5000 0.5000 0.5000
Cu3 0.6116 0.6116 0.1117
Au1 0.2513 0.2513 0.2510
Au2 0.7487 0.7487 0.7490
```

=====

Which structure is the most stable? The one labeled <A>.

=====

<A>
Compound: ZnCu3Au4
Source: Alexandria via LeMat-Bulk
Functional: PBE-GGA
Structure: relaxed

Computed properties:
Total magnetic moment = 0.00 μB per formula unit

```
data_ZnCu3Au4
_cell_length_a 3.9928
_cell_length_b 3.4815
_cell_length_c 10.1260
_cell_angle_alpha 90.00
_cell_angle_beta 101.25
_cell_angle_gamma 90.00
_symmetry_space_group_name_H-M 'P 1'
_symmetry_Int_Tables_number 1
_symmetry_space_group_name_Hall 'P 1'
loop_
_atom_site_label
_atom_site_fract_x
_atom_site_fract_y
_atom_site_fract_z
Zn1 0.0000 0.0000 0.0000
Cu1 0.3003 0.5000 0.6028
Cu2 0.5000 0.5000 0.0000
Cu3 0.6997 0.5000 0.3972
Au1 0.1961 0.0000 0.3906
Au2 0.4040 0.0000 0.8098
Au3 0.5960 0.0000 0.1902
Au4 0.8039 0.0000 0.6094
```

=====

<B>
Compound: ZnCu3Au4
Source: Alexandria via LeMat-Bulk
Functional: PBE-GGA
Structure: relaxed

Computed properties:
Total magnetic moment = 0.00 μB per formula unit

```
data_ZnCu3Au4
_cell_length_a 7.6506
_cell_length_b 7.6506
_cell_length_c 4.1747
_cell_angle_alpha 105.63
_cell_angle_beta 105.63
_cell_angle_gamma 31.66
_symmetry_space_group_name_H-M 'P 1'
_symmetry_Int_Tables_number 1
_symmetry_space_group_name_Hall 'P 1'
loop_
_atom_site_label
_atom_site_fract_x
_atom_site_fract_y
_atom_site_fract_z
Zn1 0.0000 0.0000 0.0000
Cu1 0.2504 0.2504 0.2503
Cu2 0.5000 0.5000 0.5000
Cu3 0.7496 0.7496 0.7497
Au1 0.1263 0.1263 0.6266
Au2 0.3737 0.3737 0.8733
Au3 0.6263 0.6263 0.1267
Au4 0.8737 0.8737 0.3734
```

=====

Which structure is the most stable? The one labeled <B>.

=====

<A>
Compound: Zn2Cu3Au2
Source: Alexandria via LeMat-Bulk
Functional: PBE-GGA
Structure: relaxed

Computed properties:
Total magnetic moment = 0.00 μB per formula unit

```
data_Zn2Cu3Au2
_cell_length_a 2.8072
_cell_length_b 6.3960
_cell_length_c 6.6395
_cell_angle_alpha 61.97
_cell_angle_beta 89.67
_cell_angle_gamma 77.36
_symmetry_space_group_name_H-M 'P 1'
_symmetry_Int_Tables_number 1
_symmetry_space_group_name_Hall 'P 1'
loop_
_atom_site_label
_atom_site_fract_x
_atom_site_fract_y
_atom_site_fract_z
Zn1 0.0855 0.3379 0.4244
Zn2 0.9145 0.6621 0.5756
Cu1 0.0000 0.5000 0.0000
Cu2 0.2976 0.8960 0.7216
Cu3 0.7024 0.1040 0.2784
Au1 0.3675 0.7727 0.1767
Au2 0.6325 0.2273 0.8233
```

=====

<B>
Compound: Zn2Cu3Au2
Source: Alexandria via LeMat-Bulk
Functional: PBE-GGA
Structure: relaxed

Computed properties:
Total magnetic moment = 0.00 μB per formula unit

```
data_Zn2Cu3Au2
_cell_length_a 6.5716
_cell_length_b 6.5716
_cell_length_c 6.5716
_cell_angle_alpha 109.47
_cell_angle_beta 109.47
_cell_angle_gamma 109.47
_symmetry_space_group_name_H-M 'P 1'
_symmetry_Int_Tables_number 1
_symmetry_space_group_name_Hall 'P 1'
loop_
_atom_site_label
_atom_site_fract_x
_atom_site_fract_y
_atom_site_fract_z
Zn1 0.0000 0.4670 0.5000
Zn2 0.0330 0.0330 0.0330
Zn3 0.4670 0.5000 0.0000
Zn4 0.5000 0.0000 0.4670
Cu1 0.2489 0.7500 0.9989
Cu2 0.2500 0.5011 0.2511
Cu3 0.2511 0.2500 0.5011
Cu4 0.5011 0.2511 0.2500
Cu5 0.7500 0.9989 0.2489
Cu6 0.9989 0.2489 0.7500
Au1 0.0000 0.8503 0.5000
Au2 0.5000 0.0000 0.8503
Au3 0.6497 0.6497 0.6497
Au4 0.8503 0.5000 0.0000
```

=====

Which structure is the most stable? The one labeled <A>.

=====

<A>
Compound: Zn4Cu6Au
Source: Alexandria via LeMat-Bulk
Functional: PBE-GGA
Structure: relaxed

Computed properties:
Total magnetic moment = 0.00 μB per formula unit

```
data_Zn4Cu6Au
_cell_length_a 6.5176
_cell_length_b 6.5176
_cell_length_c 6.5176
_cell_angle_alpha 127.80
_cell_angle_beta 127.80
_cell_angle_gamma 76.96
_symmetry_space_group_name_H-M 'P 1'
_symmetry_Int_Tables_number 1
_symmetry_space_group_name_Hall 'P 1'
loop_
_atom_site_label
_atom_site_fract_x
_atom_site_fract_y
_atom_site_fract_z
Zn1 0.0754 0.0754 0.5055
Zn2 0.4301 0.9246 0.0000
Zn3 0.5699 0.5699 0.4945
Zn4 0.9246 0.4301 0.0000
Cu1 0.0000 0.5000 0.5000
Cu2 0.0601 0.7504 0.0000
Cu3 0.2496 0.2496 0.3098
Cu4 0.5000 0.0000 0.5000
Cu5 0.7504 0.0601 0.0000
Cu6 0.9399 0.9399 0.6902
Au1 0.5000 0.5000 0.0000
```

=====

<B>
Compound: Zn4Cu6Au
Source: Alexandria via LeMat-Bulk
Functional: PBE-GGA
Structure: relaxed

Computed properties:
Total magnetic moment = 0.00 μB per formula unit

```
data_Zn4Cu6Au
_cell_length_a 6.7312
_cell_length_b 6.7312
_cell_length_c 4.0643
_cell_angle_alpha 90.00
_cell_angle_beta 90.00
_cell_angle_gamma 120.00
_symmetry_space_group_name_H-M 'P 1'
_symmetry_Int_Tables_number 1
_symmetry_space_group_name_Hall 'P 1'
loop_
_atom_site_label
_atom_site_fract_x
_atom_site_fract_y
_atom_site_fract_z
Zn1 0.0000 0.0000 0.0000
Zn2 0.4530 0.3992 0.5000
Zn3 0.6008 0.0537 0.5000
Zn4 0.9463 0.5470 0.5000
Cu1 0.0401 0.2379 0.5000
Cu2 0.1977 0.9599 0.5000
Cu3 0.4335 0.1364 0.0000
Cu4 0.7028 0.5665 0.0000
Cu5 0.7621 0.8023 0.5000
Cu6 0.8636 0.2972 0.0000
Au1 0.3333 0.6667 0.0000
```

=====

Which structure is the most stable? The one labeled <B>.

=====

<A>
Compound: Zn5Cu2Au12
Source: Alexandria via LeMat-Bulk
Functional: PBE-GGA
Structure: relaxed

Computed properties:
Total magnetic moment = 0.00 μB per formula unit

```
data_Zn5Cu2Au12
_cell_length_a 7.4438
_cell_length_b 7.4438
_cell_length_c 9.4379
_cell_angle_alpha 97.44
_cell_angle_beta 97.44
_cell_angle_gamma 43.91
_symmetry_space_group_name_H-M 'P 1'
_symmetry_Int_Tables_number 1
_symmetry_space_group_name_Hall 'P 1'
loop_
_atom_site_label
_atom_site_fract_x
_atom_site_fract_y
_atom_site_fract_z
Zn1 0.0000 0.0000 0.0000
Zn2 0.3008 0.3008 0.0809
Zn3 0.3387 0.3387 0.5968
Zn4 0.6613 0.6613 0.4032
Zn5 0.6992 0.6992 0.9191
Cu1 0.2725 0.7275 0.5000
Cu2 0.7275 0.2725 0.5000
Au1 0.0039 0.0039 0.7255
Au2 0.0677 0.5714 0.3523
Au3 0.1048 0.6015 0.8628
Au4 0.3985 0.8952 0.1372
Au5 0.4286 0.9323 0.6477
Au6 0.4813 0.4813 0.2384
Au7 0.5187 0.5187 0.7616
Au8 0.5714 0.0677 0.3523
Au9 0.6015 0.1048 0.8628
Au10 0.8952 0.3985 0.1372
Au11 0.9323 0.4286 0.6477
Au12 0.9961 0.9961 0.2745
```

=====

<B>
Compound: Zn5Cu2Au12
Source: Alexandria via LeMat-Bulk
Functional: PBE-GGA
Structure: relaxed

Computed properties:
Total magnetic moment = 0.00 μB per formula unit

```
data_Zn5Cu2Au12
_cell_length_a 7.5348
_cell_length_b 7.5348
_cell_length_c 6.8650
_cell_angle_alpha 97.54
_cell_angle_beta 97.54
_cell_angle_gamma 58.53
_symmetry_space_group_name_H-M 'P 1'
_symmetry_Int_Tables_number 1
_symmetry_space_group_name_Hall 'P 1'
loop_
_atom_site_label
_atom_site_fract_x
_atom_site_fract_y
_atom_site_fract_z
Zn1 0.0000 0.0000 0.0000
Zn2 0.2424 0.2424 0.0531
Zn3 0.3362 0.3362 0.5629
Zn4 0.6638 0.6638 0.4371
Zn5 0.7576 0.7576 0.9469
Cu1 0.1952 0.8048 0.5000
Cu2 0.8048 0.1952 0.5000
Au1 0.0139 0.6136 0.2926
Au2 0.1350 0.1350 0.3478
Au3 0.1939 0.5914 0.9167
Au4 0.3864 0.9861 0.7074
Au5 0.4086 0.8061 0.0833
Au6 0.4589 0.4589 0.2847
Au7 0.5411 0.5411 0.7153
Au8 0.5914 0.1939 0.9167
Au9 0.6136 0.0139 0.2926
Au10 0.8061 0.4086 0.0833
Au11 0.8650 0.8650 0.6522
Au12 0.9861 0.3864 0.7074
```

=====

Which structure is the most stable? The one labeled <B>.

=====

<A>
Compound: Zn8CuAu2
Source: Alexandria via LeMat-Bulk
Functional: PBE-GGA
Structure: relaxed

Computed properties:
Total magnetic moment = 0.00 μB per formula unit

```
data_Zn8CuAu2
_cell_length_a 6.8146
_cell_length_b 6.8146
_cell_length_c 4.7290
_cell_angle_alpha 101.25
_cell_angle_beta 101.25
_cell_angle_gamma 59.72
_symmetry_space_group_name_H-M 'P 1'
_symmetry_Int_Tables_number 1
_symmetry_space_group_name_Hall 'P 1'
loop_
_atom_site_label
_atom_site_fract_x
_atom_site_fract_y
_atom_site_fract_z
Zn1 0.1235 0.7515 0.7066
Zn2 0.1485 0.1485 0.8430
Zn3 0.2485 0.8765 0.2934
Zn4 0.2714 0.2714 0.4054
Zn5 0.7286 0.7286 0.5946
Zn6 0.7515 0.1235 0.7066
Zn7 0.8515 0.8515 0.1570
Zn8 0.8765 0.2485 0.2934
Cu1 0.5000 0.5000 0.5000
Au1 0.3733 0.3733 0.9639
Au2 0.6267 0.6267 0.0361
```

=====

<B>
Compound: Zn8CuAu2
Source: Alexandria via LeMat-Bulk
Functional: PBE-GGA
Structure: relaxed

Computed properties:
Total magnetic moment = 0.00 μB per formula unit

```
data_Zn8CuAu2
_cell_length_a 8.2366
_cell_length_b 8.2366
_cell_length_c 4.8013
_cell_angle_alpha 98.90
_cell_angle_beta 98.90
_cell_angle_gamma 31.73
_symmetry_space_group_name_H-M 'P 1'
_symmetry_Int_Tables_number 1
_symmetry_space_group_name_Hall 'P 1'
loop_
_atom_site_label
_atom_site_fract_x
_atom_site_fract_y
_atom_site_fract_z
Zn1 0.0521 0.0521 0.2466
Zn2 0.2433 0.2433 0.3397
Zn3 0.3356 0.3356 0.8901
Zn4 0.4196 0.4196 0.4488
Zn5 0.5804 0.5804 0.5512
Zn6 0.6644 0.6644 0.1099
Zn7 0.7567 0.7567 0.6603
Zn8 0.9479 0.9479 0.7534
Cu1 0.5000 0.5000 0.0000
Au1 0.1532 0.1532 0.7935
Au2 0.8468 0.8468 0.2065
```

=====

Which structure is the most stable? The one labeled <B>.